Material: La6P17Pd6
Method: DFT, GGA-PBEsol
State: optimized geometry

Properties
For the calculated total energy, the calculation gives -194.48 eV/f.u. Its density of states at the Fermi level is 6.4 states/eV/cell. The total moment is 0.00 μB per formula unit.

Cell lengths 8.9458, 8.9458, 8.9458 Å; angles 109.47, 109.47, 109.47 degrees
Last column: nearest neighbours and their distance in Å.
Sites, in units of the cell vectors:
P 0.0000 0.5709 0.0000  3 P 2.21
Pd 0.2500 0.5000 0.7500  4 P 2.33
P 0.0000 0.0000 0.0000  6 La 2.96
P 0.2187 0.5803 0.2187  1 P 2.21, 2 Pd 2.33
P 0.5803 0.2187 0.2187  1 P 2.21, 2 Pd 2.33
P 0.7813 0.0000 0.3616  1 P 2.21, 2 Pd 2.33
La 0.2864 0.0000 0.2864  7 P 2.96-3.22
Pd 0.7500 0.5000 0.2500  4 P 2.33
P 0.6384 0.4197 0.6384  1 P 2.21, 2 Pd 2.33
P 0.7813 0.3616 0.0000  1 P 2.21, 2 Pd 2.33
La 0.7136 0.0000 0.7136  7 P 2.96-3.22
P 0.4197 0.6384 0.6384  1 P 2.21, 2 Pd 2.33
P 0.6384 0.6384 0.4197  1 P 2.21, 2 Pd 2.33
Pd 0.7500 0.2500 0.5000  4 P 2.33
La 0.0000 0.7136 0.7136  7 P 2.96-3.22
P 0.2187 0.2187 0.5803  1 P 2.21, 2 Pd 2.33
Pd 0.5000 0.2500 0.7500  4 P 2.33
La 0.7136 0.7136 0.0000  7 P 2.96-3.22
P 0.3616 0.0000 0.7813  1 P 2.21, 2 Pd 2.33
P 0.3616 0.7813 0.0000  1 P 2.21, 2 Pd 2.33
Pd 0.5000 0.7500 0.2500  4 P 2.33
P 0.4291 0.4291 0.4291  3 P 2.21
P 0.0000 0.3616 0.7813  1 P 2.21, 2 Pd 2.33
La 0.0000 0.2864 0.2864  7 P 2.96-3.22
La 0.2864 0.2864 0.0000  7 P 2.96-3.22
Pd 0.2500 0.7500 0.5000  4 P 2.33
P 0.5709 0.0000 0.0000  3 P 2.21
P 0.0000 0.7813 0.3616  1 P 2.21, 2 Pd 2.33
P 0.0000 0.0000 0.5709  3 P 2.21

Material: LaPPt
Method: DFT, GGA-PBEsol
State: optimized geometry

Properties
For the calculated total energy, the calculation gives -22.33 eV/f.u. Its density of states at the Fermi level is 1.7 states/eV/cell. The total moment is 0.00 μB per formula unit.

Cell lengths 4.1825, 4.1825, 8.1209 Å; angles 90.00, 90.00, 120.00 degrees
Last column: nearest neighbours and their distance in Å.
Sites, in units of the cell vectors:
Pt 0.6667 0.3333 0.2500  3 P 2.41
La 0.0000 0.0000 0.5000  6 Pt 3.15, 6 P 3.15
La 0.0000 0.0000 0.0000  6 P 3.15, 6 Pt 3.15
Pt 0.3333 0.6667 0.7500  3 P 2.41
P 0.3333 0.6667 0.2500  3 Pt 2.41
P 0.6667 0.3333 0.7500  3 Pt 2.41

Material: La2PPt
Method: DFT, GGA-PBEsol
State: optimized geometry

Properties
For the calculated total energy, the calculation gives -27.72 eV/f.u. Its density of states at the Fermi level is 2.3 states/eV/cell. The total moment is 0.00 μB per formula unit.

Cell lengths 3.9115, 4.3108, 6.1584 Å; angles 110.49, 108.52, 90.00 degrees
Last column: nearest neighbours and their distance in Å.
Sites, in units of the cell vectors:
P 0.5484 0.5484 0.0968  2 Pt 2.70, 4 La 3.01
La 0.9793 0.9793 0.9586  4 P 3.01, 2 La 3.27
La 0.7526 0.2526 0.5052  4 Pt 2.93, 2 P 3.09, 2 La 3.27
Pt 0.2197 0.7197 0.4394  2 P 2.70, 4 La 2.93

Material: La2PPt
Method: DFT, GGA-PBEsol
State: optimized geometry

Properties
For the calculated total energy, the calculation gives -27.64 eV/f.u. Its density of states at the Fermi level is 2.2 states/eV/cell. The total moment is 0.00 μB per formula unit.

Cell lengths 4.6895, 5.1295, 5.1295 Å; angles 66.22, 62.80, 62.80 degrees
Last column: nearest neighbours and their distance in Å.
Sites, in units of the cell vectors:
La 0.7535 0.2465 0.2465  2 Pt 2.94, 2 P 2.97
Pt 0.5000 0.0000 0.0000  4 La 2.94
La 0.2465 0.7535 0.7535  2 Pt 2.94, 2 P 2.97
P 0.0000 0.5000 0.5000  8 La 2.97-3.32

Material: La2ReP2
Method: DFT, GGA-PBEsol
State: optimized geometry

Properties
For the calculated total energy, the calculation gives -39.78 eV/f.u. Its density of states at the Fermi level is 7.3 states/eV/cell. The total moment is 0.00 μB per formula unit.

Cell lengths 4.7281, 6.4024, 6.4024 Å; angles 90.00, 90.00, 90.00 degrees
Last column: nearest neighbours and their distance in Å.
Sites, in units of the cell vectors:
P 0.0000 0.6331 0.1331  1 P 2.41, 2 Re 2.50
La 0.5000 0.1802 0.6802  6 P 2.91-3.12
La 0.5000 0.8198 0.3198  6 P 2.91-3.12
P 0.0000 0.3669 0.8669  1 P 2.41, 2 Re 2.50
La 0.5000 0.3198 0.1802  6 P 2.91-3.12
Re 0.0000 0.0000 0.0000  4 P 2.50
P 0.0000 0.1331 0.3669  1 P 2.41, 2 Re 2.50
Re 0.0000 0.5000 0.5000  4 P 2.50
La 0.5000 0.6802 0.8198  6 P 2.91-3.12
P 0.0000 0.8669 0.6331  1 P 2.41, 2 Re 2.50

Material: LaReP2S
Method: DFT, GGA-PBEsol
State: optimized geometry

Properties
The calculation puts the formation energy without anion corrections at 169.3 kJ/mol of atoms. For the calculated total energy, the calculation gives -25.87 eV/f.u. Its density of states at the Fermi level is 5.5 states/eV/cell. The total moment is 3.76 μB per formula unit.

Cell lengths 5.1987, 5.3751, 5.3751 Å; angles 90.00, 90.00, 90.00 degrees
Last column: nearest neighbours and their distance in Å.
Sites, in units of the cell vectors:
La 0.0000 0.0000 0.0000  2 S 2.60, 4 P 2.69
S 0.5000 0.0000 0.0000  2 La 2.60
P 0.0000 0.5000 0.0000  2 La 2.69
P 0.0000 0.0000 0.5000  2 La 2.69
Re 0.5000 0.5000 0.5000  8 P 3.74, 4 S 3.80

Material: LaReSiP2
Method: DFT, GGA-PBEsol
State: optimized geometry

Properties
The calculation puts the formation energy without anion corrections at -13.1 kJ/mol of atoms. For the calculated total energy, the calculation gives -36.69 eV/f.u. Its density of states at the Fermi level is 4.1 states/eV/cell. The total moment is 0.00 μB per formula unit.

Cell lengths 4.6639, 4.6549, 4.6549 Å; angles 90.00, 90.00, 90.00 degrees
Last column: nearest neighbours and their distance in Å.
Sites, in units of the cell vectors:
P 0.0000 0.5000 0.0000  2 Re 2.33
Re 0.0000 0.0000 0.0000  4 P 2.33, 2 Si 2.33
La 0.5000 0.5000 0.5000  4 Si 3.29, 8 P 3.29
Si 0.5000 0.0000 0.0000  2 Re 2.33
P 0.0000 0.0000 0.5000  2 Re 2.33

Material: LaP2Rh
Method: DFT, GGA-PBEsol
State: optimized geometry

Properties
For the calculated total energy, the calculation gives -29.44 eV/f.u. Its energy above the most stable polymorph in this dataset is 0.060 eV/atom. Its density of states at the Fermi level is 0.4 states/eV/cell. The total moment is 0.00 μB per formula unit.

Cell lengths 3.9425, 4.4236, 4.4665 Å; angles 100.38, 90.00, 90.00 degrees
Last column: nearest neighbours and their distance in Å.
Sites, in units of the cell vectors:
Rh 0.5000 0.0000 0.5000  4 P 2.38
P 0.0000 0.7504 0.6254  1 P 2.30, 2 Rh 2.38
La 0.5000 0.5000 0.0000  2 Rh 2.85, 4 P 2.93
P 0.0000 0.2496 0.3746  1 P 2.30, 2 Rh 2.38

Material: LaP2Rh2
Method: DFT, GGA-PBEsol
State: optimized geometry

Properties
For the calculated total energy, the calculation gives -39.18 eV/f.u. Its density of states at the Fermi level is 5.6 states/eV/cell. The total moment is 0.00 μB per formula unit.

Cell lengths 4.1448, 4.1448, 9.5562 Å; angles 90.00, 90.00, 90.00 degrees
Last column: nearest neighbours and their distance in Å.
Sites, in units of the cell vectors:
P 0.5000 0.0000 0.1371  5 Rh 2.39-2.45
Rh 0.0000 0.5000 0.6124  5 P 2.33-2.39
Rh 0.5000 0.0000 0.3876  5 P 2.33-2.39
P 0.5000 0.5000 0.5000  4 Rh 2.33
La 0.5000 0.0000 0.7426  8 P 3.11-3.15, 9 Rh 3.18-3.39
Rh 0.0000 0.0000 0.0000  4 P 2.45
Rh 0.5000 0.5000 0.0000  4 P 2.45
La 0.0000 0.5000 0.2574  8 P 3.11-3.15, 9 Rh 3.18-3.39
P 0.0000 0.5000 0.8629  5 Rh 2.39-2.45
P 0.0000 0.0000 0.5000  4 Rh 2.33

Material: LaPRh2
Method: DFT, GGA-PBEsol
State: optimized geometry

Properties
For the calculated total energy, the calculation gives -31.12 eV/f.u. Its density of states at the Fermi level is 1.2 states/eV/cell. The total moment is 0.00 μB per formula unit.

Cell lengths 4.0097, 4.0092, 4.7182 Å; angles 89.93, 90.00, 90.00 degrees
Last column: nearest neighbours and their distance in Å.
Sites, in units of the cell vectors:
P 0.5000 0.1251 0.8405  4 Rh 2.27
Rh 0.0000 0.1249 0.0652  2 P 2.27
La 0.0000 0.6252 0.5290  8 Rh 2.97-3.23, 4 P 3.19
Rh 0.5000 0.6248 0.0652  2 P 2.27

Material: La3P4Rh13
Method: DFT, GGA-PBEsol
State: optimized geometry

Properties
For the calculated total energy, the calculation gives -158.50 eV/f.u. Its density of states at the Fermi level is 21.9 states/eV/cell. The total moment is 0.00 μB per formula unit.

Cell lengths 8.7047, 8.7047, 8.7047 Å; angles 90.00, 90.00, 90.00 degrees
Last column: nearest neighbours and their distance in Å.
Sites, in units of the cell vectors:
Rh 0.0000 0.7367 0.8431  2 P 2.33
Rh 0.1569 0.0000 0.2633  2 P 2.33
Rh 0.0000 0.2633 0.1569  2 P 2.33
Rh 0.5000 0.5000 0.5000  12 Rh 2.67
Rh 0.7633 0.5000 0.6569  2 P 2.33
P 0.2500 0.2500 0.2500  6 Rh 2.33
Rh 0.5000 0.6569 0.2367  2 P 2.33
Rh 0.6569 0.7633 0.5000  2 P 2.33
Rh 0.2633 0.8431 0.0000  2 P 2.33
Rh 0.8431 0.0000 0.7367  2 P 2.33
La 0.2500 0.5000 0.0000  12 Rh 2.99-3.29, 4 P 3.08
Rh 0.1569 0.0000 0.7367  2 P 2.33
Rh 0.2633 0.1569 0.0000  2 P 2.33
Rh 0.7633 0.5000 0.3431  2 P 2.33
Rh 0.5000 0.3431 0.2367  2 P 2.33
Rh 0.5000 0.6569 0.7633  2 P 2.33
Rh 0.2367 0.5000 0.6569  2 P 2.33
La 0.5000 0.0000 0.2500  12 Rh 2.99-3.29, 4 P 3.08
P 0.2500 0.2500 0.7500  6 Rh 2.33
La 0.0000 0.7500 0.5000  12 Rh 2.99-3.29, 4 P 3.08
Rh 0.2367 0.5000 0.3431  2 P 2.33
Rh 0.3431 0.7633 0.5000  2 P 2.33
La 0.5000 0.0000 0.7500  12 Rh 2.99-3.29, 4 P 3.08
P 0.7500 0.7500 0.7500  6 Rh 2.33
Rh 0.0000 0.0000 0.0000  12 Rh 2.67
P 0.2500 0.7500 0.2500  6 Rh 2.33
Rh 0.0000 0.7367 0.1569  2 P 2.33
P 0.7500 0.7500 0.2500  6 Rh 2.33
Rh 0.7367 0.8431 0.0000  2 P 2.33
P 0.7500 0.2500 0.2500  6 Rh 2.33
Rh 0.6569 0.2367 0.5000  2 P 2.33
Rh 0.5000 0.3431 0.7633  2 P 2.33
Rh 0.8431 0.0000 0.2633  2 P 2.33
Rh 0.7367 0.1569 0.0000  2 P 2.33
P 0.2500 0.7500 0.7500  6 Rh 2.33
Rh 0.3431 0.2367 0.5000  2 P 2.33
P 0.7500 0.2500 0.7500  6 Rh 2.33
Rh 0.0000 0.2633 0.8431  2 P 2.33
La 0.7500 0.5000 0.0000  12 Rh 2.99-3.29, 4 P 3.08
La 0.0000 0.2500 0.5000  12 Rh 2.99-3.29, 4 P 3.08

Material: LaP2Rh
Method: DFT, GGA-PBEsol
State: optimized geometry

Properties
For the calculated total energy, the calculation gives -29.68 eV/f.u. Its energy above the most stable polymorph in this dataset is 0.000 eV/atom. Its density of states at the Fermi level is 0.4 states/eV/cell. The total moment is 0.00 μB per formula unit.

Cell lengths 3.9112, 3.9112, 5.8805 Å; angles 70.58, 70.58, 60.00 degrees
Last column: nearest neighbours and their distance in Å.
Sites, in units of the cell vectors:
P 0.7230 0.7230 0.8310  3 Rh 2.44
La 0.5000 0.5000 0.5000  6 P 2.89
Rh 0.0000 0.0000 0.0000  6 P 2.44
P 0.2770 0.2770 0.1690  3 Rh 2.44